AcLaHoAg: relaxed, PBE-GGA.

The space group is F-43m (No. 216) and the conventional cell measures 7.9967, 7.9967 and 7.9967 Å, with angles of 90.00, 90.00 and 90.00 degrees. The distinct sites, in fractional coordinates, are Ac at (0.0000, 0.0000, 0.0000), La at (0.2500, 0.2500, 0.2500), Ho at (0.2500, 0.2500, 0.7500) and Ag at (0.0000, 0.0000, 0.5000).

For the energy of formation from the pure elements, the calculation gives 0.1651 eV per atom. For the spin magnetization, the calculation gives 0.008 μB/f.u.

***

PuHPd6: relaxed, PBE-GGA.

The space group is R-3m (No. 166, hexagonal axes) and the conventional cell measures 5.5130, 5.5130 and 14.7165 Å, with angles of 90.00, 90.00 and 120.00 degrees. The distinct sites, in fractional coordinates, are Pu at (0.0000, 0.0000, 0.0000), H at (0.0000, 0.0000, 0.5000) and Pd at (0.0074, 0.5037, 0.9094).

The value obtained for the energy is -0.4599 Ry per atom. For the spin magnetization, the calculation gives 4.250 μB/f.u.

***

La2MgS4: relaxed, PBE-GGA.

The space group is I-42d (No. 122) and the conventional cell measures 8.4668, 8.4668 and 8.9843 Å, with angles of 90.00, 90.00 and 90.00 degrees. The distinct sites, in fractional coordinates, are La at (0.1358, 0.2500, 0.1250), Mg at (0.0000, 0.0000, 0.5000) and S at (0.0680, 0.2019, 0.8088).

The energy above the most stable polymorph in this dataset is 37.2 meV per atom. For the spin magnetization, the calculation gives 0.000 μB/f.u. The calculation puts the formation energy without anion corrections at -1.89 eV/atom.

***

AgHg2: relaxed, PBE-GGA.

The space group is Immm (No. 71) and the conventional cell measures 3.4869, 4.0829 and 9.2308 Å, with angles of 90.00, 90.00 and 90.00 degrees. The distinct sites, in fractional coordinates, are Ag at (0.0000, 0.0000, 0.0000) and Hg at (0.0000, 0.0000, 0.3360).

The energy above the most stable polymorph in this dataset is 47.5 meV per atom. For the energy of formation from the pure elements, the calculation gives 0.0999 eV per atom. For the spin magnetization, the calculation gives 0.000 μB/f.u.

***

RuPt2: relaxed, PBE-GGA.

The space group is P4/mmm (No. 123) and the conventional cell measures 4.4968, 4.4968 and 2.7212 Å, with angles of 90.00, 90.00 and 90.00 degrees. The distinct sites, in fractional coordinates, are Ru at (0.0000, 0.0000, 0.0000) and Pt at (0.0000, 0.5000, 0.5000).

For the energy of formation from the pure elements, the calculation gives 0.5414 eV per atom. For the spin magnetization, the calculation gives 1.365 μB/f.u.

***

GeSbAs2N: relaxed, PBE-GGA.

The space group is P4/mmm (No. 123) and the conventional cell measures 4.5661, 4.5661 and 4.3791 Å, with angles of 90.00, 90.00 and 90.00 degrees. The distinct sites, in fractional coordinates, are Ge at (0.0000, 0.0000, 0.0000), Sb at (0.5000, 0.5000, 0.0000), As at (0.0000, 0.5000, 0.5000) and N at (0.0000, 0.0000, 0.5000).

For the spin magnetization, the calculation gives 0.000 μB/f.u. The calculation puts the formation energy without anion corrections at 0.66 eV/atom.

***

NaMg6BO7: relaxed, PBE-GGA.

The space group is P4mm (No. 99) and the conventional cell measures 4.4709, 4.4709 and 7.9689 Å, with angles of 90.00, 90.00 and 90.00 degrees. The distinct sites, in fractional coordinates, are Na at (0.0000, 0.0000, 0.0000), Mg at (0.0000, 0.5000, 0.2520), Mg at (0.0000, 0.5000, 0.7421), Mg at (0.5000, 0.5000, 0.0007), Mg at (0.5000, 0.5000, 0.4939), B at (0.0000, 0.0000, 0.4984), O at (0.0000, 0.0000, 0.3241), O at (0.0000, 0.0000, 0.6737), O at (0.0000, 0.5000, 0.4970), O at (0.0000, 0.5000, 0.9969) and O at (0.5000, 0.5000, 0.7468).

The energy above the most stable polymorph in this dataset is 13.2 meV per atom. For the spin magnetization, the calculation gives 0.000 μB/f.u. The calculation puts the formation energy without anion corrections at -2.04 eV/atom.

***

KAgHgTe2: relaxed, PBE-GGA.

The space group is C2/m (No. 12) and the conventional cell measures 16.6260, 4.6893 and 9.9429 Å, with angles of 90.00, 106.82 and 90.00 degrees. The distinct sites, in fractional coordinates, are K at (0.2113, 0.0000, 0.2101), Ag at (0.1376, 0.0000, 0.5602), Hg at (0.0304, 0.5000, 0.7408), Te at (0.1287, 0.0000, 0.8373) and Te at (0.1377, 0.5000, 0.4090).

For the spin magnetization, the calculation gives 0.000 μB/f.u. The calculation puts the formation energy without anion corrections at -0.44 eV/atom.